Li2Tl2WO6, optimized geometry, DFT GGA+U; crystal system = trigonal; DOS at the Fermi energy = 0.2387 states/eV/atom; calculated density = 8.3 g/cm³; E_tot = -5.56 eV/atom
1.0
5.356 0.000 0.000
-2.678 4.638 0.000
0.000 0.000 5.635
Li Tl W O
2 2 1 6
direct
0.333 0.667 0.499
0.667 0.333 0.501
0.333 0.667 0.999
0.667 0.333 0.001
0.000 0.000 0.500
0.000 0.306 0.694
0.000 0.694 0.306
0.306 0.000 0.694
0.306 0.306 0.306
0.694 0.000 0.306
0.694 0.694 0.694